Entry 1:
This record from Alexandria via LeMat-Bulk describes NaPr2Au after structural relaxation. The functional is PBE.

Calculated values
space-group type: No. 123
energy relative to the elements: -0.246 eV/atom
total magnetization: 0.00 μB/f.u.
DOS at the Fermi energy: 5.70 states/eV per cell
E_tot: -3.785 eV per atom

Structure (POSCAR):
```
NaPr2Au
1.0
3.679 0.000 0.000
0.000 3.679 0.000
0.000 0.000 9.440
Na Pr Au
1 2 1
direct
0.000 0.000 0.000
0.500 0.500 0.306
0.500 0.500 0.694
0.000 0.000 0.500
```

=====

Entry 2:
This record from Alexandria via LeMat-Bulk describes Ba2LiGa4Ge3 after structural relaxation. The functional is PBE.

Calculated values
space-group type: No. 115
energy relative to the elements: -0.364 eV/atom
total magnetization: 0.00 μB/f.u.
DOS at the Fermi energy: 3.78 states/eV per cell
E_tot: -3.536 eV per atom

Structure (POSCAR):
```
Ba2LiGa4Ge3
1.0
4.705 0.000 0.000
0.000 4.705 0.000
0.000 0.000 10.663
Ba Li Ga Ge
2 1 4 3
direct
0.000 0.500 0.248
0.500 0.000 0.752
0.000 0.000 0.500
0.000 0.000 0.000
0.000 0.500 0.626
0.500 0.000 0.374
0.500 0.500 0.000
0.000 0.500 0.875
0.500 0.000 0.125
0.500 0.500 0.500
```

=====

Entry 3:
This record from Alexandria via LeMat-Bulk describes CeNd3Ho2S6 after structural relaxation. The functional is PBE.

Calculated values
space-group type: No. 12
total magnetization: 0.59 μB/f.u.
formation energy (no corrections): -2.02 eV/atom
DOS at the Fermi energy: 8.52 states/eV per cell
E_tot: -6.531 eV per atom

Structure (POSCAR):
```
CeNd3Ho2S6
1.0
3.452 -5.993 0.000
3.452 5.993 0.000
-2.318 0.000 6.562
Ce Nd Ho S
1 3 2 6
direct
0.000 0.000 0.000
0.165 0.835 0.500
0.500 0.500 0.500
0.835 0.165 0.500
0.333 0.667 0.000
0.667 0.333 0.000
0.079 0.419 0.237
0.261 0.261 0.764
0.419 0.079 0.237
0.581 0.921 0.763
0.739 0.739 0.236
0.921 0.581 0.763
```

=====

Entry 4:
This record from Alexandria via LeMat-Bulk describes Ca2MgPd2 after structural relaxation. The functional is PBE.

Calculated values
space-group type: No. 71
energy relative to the elements: -0.669 eV/atom
total magnetization: 0.00 μB/f.u.
DOS at the Fermi energy: 2.52 states/eV per cell
E_tot: -3.866 eV per atom

Structure (POSCAR):
```
Ca2MgPd2
1.0
-2.182 2.967 4.441
2.182 -2.967 4.441
2.182 2.967 -4.441
Ca Mg Pd
2 1 2
direct
0.200 0.200 0.000
0.800 0.800 0.000
0.500 0.000 0.500
0.236 0.500 0.736
0.764 0.500 0.264
```

=====

Entry 5:
This record from Alexandria via LeMat-Bulk describes U2SbH2Se after structural relaxation. The functional is PBE.

Calculated values
space-group type: No. 164
total magnetization: 5.00 μB/f.u.
DOS at the Fermi energy: 8.10 states/eV per cell
E_tot: -6.747 eV per atom

Structure (POSCAR):
```
U2SbH2Se
1.0
3.914 0.000 0.000
-1.957 3.390 0.000
0.000 0.000 8.083
U Sb H Se
2 1 2 1
direct
0.333 0.667 0.263
0.667 0.333 0.737
0.000 0.000 0.000
0.333 0.667 0.743
0.667 0.333 0.257
0.000 0.000 0.500
```

=====

Entry 6:
This record from Alexandria via LeMat-Bulk describes RbCoOs after structural relaxation. The functional is PBE.

Calculated values
space-group type: No. 129
energy relative to the elements: 0.953 eV/atom
total magnetization: 0.00 μB/f.u.
DOS at the Fermi energy: 12.36 states/eV per cell
E_tot: -5.481 eV per atom

Structure (POSCAR):
```
RbCoOs
1.0
4.342 0.000 0.000
0.000 4.342 0.000
0.000 0.000 8.788
Rb Co Os
2 2 2
direct
0.250 0.250 0.181
0.750 0.750 0.819
0.250 0.750 0.500
0.750 0.250 0.500
0.250 0.250 0.598
0.750 0.750 0.402
```

=====

Entry 7:
This record from Alexandria via LeMat-Bulk describes ZrNi2Au after structural relaxation. The functional is PBE.

Calculated values
space-group type: No. 25
energy relative to the elements: -0.281 eV/atom
total magnetization: 0.00 μB/f.u.
DOS at the Fermi energy: 1.35 states/eV per cell
E_tot: -6.128 eV per atom

Structure (POSCAR):
```
ZrNi2Au
1.0
3.381 0.000 0.000
0.000 3.413 0.000
0.000 0.000 5.392
Zr Ni Au
1 2 1
direct
0.000 0.000 0.000
0.000 0.000 0.546
0.500 0.500 0.770
0.500 0.500 0.299
```

=====

Entry 8:
This record from Alexandria via LeMat-Bulk describes TmThS3 after structural relaxation. The functional is PBE.

Calculated values
space-group type: No. 62
total magnetization: 0.00 μB/f.u.
formation energy (no corrections): -1.99 eV/atom
DOS at the Fermi energy: 8.88 states/eV per cell
E_tot: -6.846 eV per atom

Structure (POSCAR):
```
TmThS3
1.0
7.399 0.000 0.000
0.000 3.964 0.000
0.000 0.000 15.018
Tm Th S
4 4 12
direct
0.237 0.250 0.044
0.263 0.750 0.544
0.737 0.250 0.456
0.763 0.750 0.956
0.128 0.750 0.295
0.372 0.250 0.795
0.628 0.750 0.205
0.872 0.250 0.705
0.012 0.750 0.105
0.127 0.250 0.437
0.153 0.750 0.720
0.347 0.250 0.220
0.373 0.750 0.937
0.488 0.250 0.605
0.512 0.750 0.395
0.627 0.250 0.063
0.653 0.750 0.780
0.847 0.250 0.280
0.873 0.750 0.563
0.988 0.250 0.895
```

=====

Entry 9:
This record from Alexandria via LeMat-Bulk describes In2AgMo after structural relaxation. The functional is PBE.

Calculated values
space-group type: No. 99
energy relative to the elements: 0.381 eV/atom
total magnetization: 0.00 μB/f.u.
DOS at the Fermi energy: 2.88 states/eV per cell
E_tot: -4.409 eV per atom

Structure (POSCAR):
```
In2AgMo
1.0
2.944 0.000 0.000
0.000 2.944 0.000
0.000 0.000 9.349
In Ag Mo
2 1 1
direct
0.000 0.000 0.000
0.500 0.500 0.299
0.500 0.500 0.746
0.000 0.000 0.528
```

=====

Entry 10:
This record from Alexandria via LeMat-Bulk describes TbErP2Rh5 after structural relaxation. The functional is PBE.

Calculated values
space-group type: No. 123
energy relative to the elements: -0.749 eV/atom
total magnetization: 0.00 μB/f.u.
DOS at the Fermi energy: 3.91 states/eV per cell
E_tot: -7.057 eV per atom

Structure (POSCAR):
```
TbErP2Rh5
1.0
4.025 0.000 0.000
0.000 4.025 0.000
0.000 0.000 10.703
Tb Er P Rh
1 1 2 5
direct
0.000 0.000 0.000
0.000 0.000 0.500
0.500 0.500 0.211
0.500 0.500 0.789
0.000 0.500 0.306
0.000 0.500 0.694
0.500 0.000 0.306
0.500 0.000 0.694
0.500 0.500 0.000
```

=====

Entry 11:
This record from Alexandria via LeMat-Bulk describes Li6ZnPd after structural relaxation. The functional is PBE.

Calculated values
space-group type: No. 25
energy relative to the elements: -0.193 eV/atom
total magnetization: 0.00 μB/f.u.
DOS at the Fermi energy: 2.68 states/eV per cell
E_tot: -2.436 eV per atom

Structure (POSCAR):
```
Li6ZnPd
1.0
4.542 0.000 0.000
0.000 5.755 0.000
0.000 0.000 4.799
Li Zn Pd
6 1 1
direct
0.000 0.000 0.000
0.000 0.243 0.464
0.000 0.757 0.464
0.500 0.238 0.824
0.500 0.500 0.311
0.500 0.762 0.824
0.000 0.500 0.957
0.500 0.000 0.329
```

=====

Entry 12:
This record from Alexandria via LeMat-Bulk describes PrNd2Tl after structural relaxation. The functional is PBE.

Calculated values
space-group type: No. 123
energy relative to the elements: -0.173 eV/atom
total magnetization: 0.00 μB/f.u.
DOS at the Fermi energy: 4.16 states/eV per cell
E_tot: -4.344 eV per atom

Structure (POSCAR):
```
PrNd2Tl
1.0
3.728 0.000 0.000
0.000 3.728 0.000
0.000 0.000 9.461
Pr Nd Tl
1 2 1
direct
0.000 0.000 0.000
0.500 0.500 0.275
0.500 0.500 0.725
0.000 0.000 0.500
```

=====

total magnetization of number 12 (PrNd2Tl)?
0.00 μB/f.u.